1.
Computed, not measured: a relaxed Ca2MgNbTe crystal at the PBE-GGA level of DFT.

a b c (Å): 5.823 5.262 5.823
angles (deg): 90.00 90.00 90.00
Sites, in units of the cell vectors:
Nb (0.000, 0.000, 0.000)
Te (0.000, 0.500, 0.000)
Ca (0.000, 0.000, 0.500)
Ca (0.500, 0.000, 0.000)
Mg (0.500, 0.500, 0.500)

Values from the calculation:
Crystal system: tetragonal
Calculated density: 3.0 g/cm3
Fermi-level density of states: 5.2 states/eV/cell
Formation energy from raw total energies: 0.38 eV per atom



2.
Computed, not measured: a relaxed AgHgI2 crystal at the PBE-GGA level of DFT.

a b c (Å): 4.556 8.585 9.256
angles (deg): 101.74 90.12 105.33
Sites, in units of the cell vectors:
Ag (0.576, 0.189, 0.522)
Ag (0.090, 0.215, 0.306)
Hg (0.623, 0.286, 0.965)
I (0.718, 0.473, 0.753)
I (0.972, 0.979, 0.480)
I (0.013, 0.065, 0.975)
Hg (0.353, 0.743, 0.108)
I (0.696, 0.429, 0.285)

Values from the calculation:
Crystal system: triclinic
E above lowest polymorph: 14 kJ/mol of formula units
Calculated density: 5.5 g/cm3
Formation energy from raw total energies: -0.20 eV per atom



3.
Computed, not measured: a relaxed NdRe7N12 crystal at the PBE-GGA level of DFT.

a b c (Å): 6.649 6.649 6.649
angles (deg): 109.47 109.47 109.47
Sites, in units of the cell vectors:
N (0.818, 0.510, 0.692)
N (0.308, 0.818, 0.126)
Re (0.000, 0.000, 0.500)
Re (0.500, 0.000, 0.500)
Re (0.500, 0.500, 0.500)
N (0.182, 0.874, 0.692)
N (0.510, 0.692, 0.818)
Re (0.500, 0.500, 0.000)
N (0.692, 0.182, 0.874)
Re (0.000, 0.500, 0.000)
N (0.692, 0.818, 0.510)
Re (0.000, 0.500, 0.500)
N (0.490, 0.308, 0.182)
N (0.308, 0.182, 0.490)
Re (0.500, 0.000, 0.000)
Nd (0.000, 0.000, 0.000)
N (0.126, 0.308, 0.818)
N (0.818, 0.126, 0.308)
N (0.182, 0.490, 0.308)
N (0.874, 0.692, 0.182)

Values from the calculation:
Crystal system: cubic
Calculated density: 11.9 g/cm3
Fermi-level density of states: 11.2 states/eV/cell
Formation energy from raw total energies: 0.35 eV per atom



4.
Computed, not measured: a relaxed LaCoSe2 crystal at the PBE-GGA level of DFT.

a b c (Å): 4.321 4.113 5.961
angles (deg): 69.81 90.00 90.00
Sites, in units of the cell vectors:
Co (0.000, 0.319, 0.487)
Se (0.000, 0.108, 0.910)
La (0.500, 0.680, 0.765)
Se (0.500, 0.394, 0.338)

Values from the calculation:
Crystal system: orthorhombic
E above lowest polymorph: 0 kJ/mol of formula units
Calculated density: 5.9 g/cm3
Fermi-level density of states: 3.9 states/eV/cell
Formation energy from raw total energies: -1.04 eV per atom



5.
Computed, not measured: a relaxed Cd2NiCl crystal at the PBE-GGA level of DFT.

a b c (Å): 4.845 4.845 4.845
angles (deg): 60.00 60.00 60.00
Sites, in units of the cell vectors:
Ni (0.500, 0.500, 0.500)
Cd (0.750, 0.750, 0.750)
Cl (0.000, 0.000, 0.000)
Cd (0.250, 0.250, 0.250)

Values from the calculation:
Crystal system: cubic
E above lowest polymorph: 196 kJ/mol of formula units
Calculated density: 6.6 g/cm3
Fermi-level density of states: 2.3 states/eV/cell
Formation energy from raw total energies: 0.32 eV per atom



6.
Computed, not measured: a relaxed Ho2Al8Fe crystal at the PBE-GGA level of DFT.

a b c (Å): 4.203 4.203 11.201
angles (deg): 90.00 90.00 90.00
Sites, in units of the cell vectors:
Ho (0.000, 0.000, 0.694)
Al (0.500, 0.000, 0.115)
Al (0.500, 0.000, 0.885)
Fe (0.000, 0.000, 0.000)
Al (0.000, 0.500, 0.115)
Al (0.500, 0.500, 0.692)
Al (0.000, 0.500, 0.885)
Al (0.500, 0.000, 0.500)
Al (0.000, 0.500, 0.500)
Al (0.500, 0.500, 0.308)
Ho (0.000, 0.000, 0.306)

Values from the calculation:
Energy of formation: -402 meV per atom
Crystal system: tetragonal
Calculated density: 5.0 g/cm3
Fermi-level density of states: 4.8 states/eV/cell



7.
Computed, not measured: a relaxed BeAg2Au crystal at the PBE-GGA level of DFT.

a b c (Å): 3.998 3.780 4.216
angles (deg): 90.00 90.00 90.00
Sites, in units of the cell vectors:
Ag (0.500, 0.500, 0.000)
Ag (0.000, 0.000, 0.000)
Be (0.000, 0.500, 0.500)
Au (0.500, 0.000, 0.500)

Values from the calculation:
Energy of formation: 150 meV per atom
Crystal system: orthorhombic
Calculated density: 11.0 g/cm3
Fermi-level density of states: 2.0 states/eV/cell



8.
Computed, not measured: a relaxed Pm6ZnAu5 crystal at the PBE-GGA level of DFT.

a b c (Å): 5.221 7.334 8.298
angles (deg): 90.00 108.38 90.00
Sites, in units of the cell vectors:
Zn (0.000, 0.000, 0.000)
Pm (0.168, 0.249, 0.335)
Au (0.345, 0.000, 0.687)
Pm (0.500, 0.746, 0.000)
Pm (0.500, 0.254, 0.000)
Pm (0.832, 0.249, 0.665)
Pm (0.832, 0.751, 0.665)
Pm (0.168, 0.751, 0.335)
Au (0.332, 0.500, 0.663)
Au (0.668, 0.500, 0.337)
Au (0.000, 0.500, 0.000)
Au (0.655, 0.000, 0.313)

Values from the calculation:
Energy of formation: -708 meV per atom
Crystal system: orthorhombic
Calculated density: 10.6 g/cm3
Fermi-level density of states: 7.6 states/eV/cell



Calculated M_tot (μB/f.u.), listed in the same order as above: 0.0; 0.0; 6.6; 2.0; 0.0; 0.0; 0.0; 0.0